# 1
First-principles (PBE-GGA) data for a relaxed structure of PtWSe2N, as listed in the Alexandria database.

Computed properties:
Space-group type: No. 123
E above lowest polymorph, meV per atom: 630
Volume, Å³/atom: 19.4
Energy relative to the elements, uncorrected, eV/atom: 1.21

Lattice parameters (Å, degrees): 5.1577 5.1577 3.6376 90.00 90.00 90.00
With the nearest neighbours (Å) after each atom.
Fractional coordinates of all 5 atoms:
Pt 0.0000 0.0000 0.0000  2 N 1.82
W 0.5000 0.5000 0.5000  8 Se 3.16
Se 0.0000 0.5000 0.0000  2 Pt 2.58
Se 0.5000 0.0000 0.0000  2 Pt 2.58
N 0.0000 0.0000 0.5000  2 Pt 1.82

# 2
First-principles (PBE-GGA) data for a relaxed structure of BaCuIr2, as listed in the Alexandria database.

Computed properties:
Space-group type: No. 71
E above lowest polymorph, meV per atom: 686
Volume, Å³/atom: 18.6

Lattice parameters (Å, degrees): 5.8416 5.8416 5.8416 150.60 130.02 59.05
With the nearest neighbours (Å) after each atom.
Fractional coordinates of all 4 atoms:
Ba 0.0000 0.0000 0.0000  4 Cu 2.88, 2 Ba 2.97, 4 Ir 3.19
Cu 0.5000 0.5000 0.0000  4 Ir 2.70, 4 Ba 2.88, 2 Cu 2.97
Ir 0.2782 0.7782 0.5000  2 Cu 2.70, 6 Ir 2.94-2.97
Ir 0.7218 0.2218 0.5000  2 Cu 2.70, 6 Ir 2.94-2.97

# 3
First-principles (PBE-GGA) data for a relaxed structure of HfTiIn2, as listed in the Alexandria database.

Computed properties:
Space-group type: No. 160
E above lowest polymorph, meV per atom: 495
Volume, Å³/atom: 24.4

Lattice parameters (Å, degrees): 6.4705 6.4705 6.4705 39.22 39.22 39.22
With the nearest neighbours (Å) after each atom.
Fractional coordinates of all 4 atoms:
Hf 0.0000 0.0000 0.0000  6 In 2.90-2.98, 1 Ti 3.22
Ti 0.1801 0.1801 0.1801  6 In 2.82-2.99
In 0.4229 0.4229 0.4229  1 In 2.91, 3 Hf 2.98, 3 Ti 2.99
In 0.5858 0.5858 0.5858  3 Ti 2.82, 3 Hf 2.90, 1 In 2.91

| no. | D(E_F) (states/eV per cell) |
| --- | --- |
| 1 | 3.2 |
| 2 | 2.9 |
| 3 | 4.5 |